Density functional theory data (PBE) for an optimized crystal structure of SrInAgPd.

Cell and atoms, written as CIF:
```
data_SrInAgPd
_space_group_name_H-M_alt 'F -4 3 m'
_space_group_IT_number 216
_space_group_name_Hall 'F -4 2 3'
_cell_length_a 7.167
_cell_length_b 7.167
_cell_length_c 7.167
_cell_angle_alpha 90.00
_cell_angle_beta 90.00
_cell_angle_gamma 90.00
loop_
_atom_site_label
_atom_site_type_symbol
_atom_site_fract_x
_atom_site_fract_y
_atom_site_fract_z
Sr1 Sr 0.000 0.000 0.000
In1 In 0.000 0.000 0.500
Ag1 Ag 0.250 0.250 0.750
Pd1 Pd 0.250 0.250 0.250
```

Calculated values
**Relative energy among the computed polymorphs**: 0.114 eV per atom
**Total moment**: 0.0 μB/f.u.
**ΔH_f (0 K)**: -0.34 eV per atom